{"formula": "Ni3OF5", "functional": "GGA+U", "state": "optimized geometry", "dft_energy_ev_per_atom": -4.2770, "cell": [[4.703, 0.000, 0.000], [0.088, 5.627, 0.000], [0.089, 0.521, 7.754]], "species": ["Ni", "Ni", "Ni", "Ni", "Ni", "Ni", "O", "O", "F", "F", "F", "F", "F", "F", "F", "F", "F", "F"], "fractional_positions": [[0.000, 0.000, 0.000], [0.001, 0.331, 0.664], [0.480, 0.844, 0.672], [0.486, 0.170, 0.340], [0.488, 0.510, 0.999], [0.989, 0.669, 0.334], [0.295, 0.135, 0.567], [0.296, 0.801, 0.901], [0.186, 0.968, 0.235], [0.188, 0.304, 0.900], [0.189, 0.635, 0.566], [0.295, 0.469, 0.233], [0.686, 0.205, 0.102], [0.690, 0.872, 0.439], [0.693, 0.538, 0.765], [0.793, 0.041, 0.770], [0.794, 0.707, 0.102], [0.795, 0.371, 0.435]]}